The following is a PBE calculation of a geometry-optimized Er8TmAl2 structure, from Alexandria.

## Properties
For the raw total energy, the calculation gives -48.32 eV/cell.

Cell: 8.4690 8.4690 5.4785 Å, 101.51 101.51 117.95°
Atoms (fractional coordinates):
Er: 0.0886 0.3254 0.6118
Er: 0.2224 0.7776 0.0000
Er: 0.3254 0.0886 0.6118
Er: 0.4013 0.4013 0.2031
Er: 0.5987 0.5987 0.7969
Er: 0.6746 0.9114 0.3882
Er: 0.7776 0.2224 0.0000
Er: 0.9114 0.6746 0.3882
Tm: 0.0000 0.0000 0.0000
Al: 0.3080 0.6920 0.5000
Al: 0.6920 0.3080 0.5000